(1)
Material: SmScS3
Method: DFT, PBE
State: relaxed

The formation energy (no corrections) comes out at -1.944 eV per atom. For the volume, the calculation gives 112 Å³/f.u. The value obtained for the total energy is -6.63 eV/atom.

```
SmScS3
1.0
7.042 -1.899 0.000
7.042 1.899 0.000
-0.238 0.000 8.343
Sm Sc S
2 2 6
direct
0.113 0.113 0.091
0.887 0.887 0.909
0.322 0.322 0.363
0.678 0.678 0.637
0.142 0.142 0.444
0.245 0.245 0.834
0.460 0.460 0.166
0.540 0.540 0.834
0.755 0.755 0.166
0.858 0.858 0.556
```

***

(2)
Material: SmSc2S
Method: DFT, PBE
State: relaxed

The formation energy (no corrections) comes out at -0.724 eV per atom. For the volume, the calculation gives 100 Å³/f.u. The value obtained for the total energy is -6.10 eV/atom.

```
SmSc2S
1.0
1.745 1.008 9.509
-1.745 1.008 9.509
0.000 -2.015 9.509
Sm Sc S
1 2 1
direct
0.000 0.000 0.000
0.114 0.114 0.114
0.886 0.886 0.886
0.500 0.500 0.500
```

***

(3)
Material: Sm3ScS4
Method: DFT, PBE
State: relaxed

The formation energy (no corrections) comes out at -1.956 eV per atom. For the volume, the calculation gives 173 Å³/f.u. The value obtained for the total energy is -6.58 eV/atom.

```
Sm3ScS4
1.0
3.975 -5.573 0.000
3.975 5.573 0.000
0.000 0.000 3.899
Sm Sc S
3 1 4
direct
0.000 0.000 0.000
0.000 0.500 0.500
0.500 0.000 0.500
0.500 0.500 0.000
0.259 0.741 0.000
0.267 0.267 0.500
0.733 0.733 0.500
0.741 0.259 0.000
```

***

(4)
Material: SmSc2S3
Method: DFT, PBE
State: relaxed

The formation energy (no corrections) comes out at -1.884 eV per atom. For the volume, the calculation gives 117 Å³/f.u. The value obtained for the total energy is -6.84 eV/atom.

```
SmSc2S3
1.0
-1.888 2.711 5.719
1.888 -2.711 5.719
1.888 2.711 -5.719
Sm Sc S
1 2 3
direct
0.000 0.000 0.000
0.342 0.342 0.000
0.658 0.658 0.000
0.182 0.682 0.500
0.500 0.000 0.500
0.818 0.318 0.500
```

***

(5)
Material: SmSc2S
Method: DFT, PBE
State: relaxed

The formation energy (no corrections) comes out at -0.893 eV per atom. For the volume, the calculation gives 96 Å³/f.u. The value obtained for the total energy is -6.27 eV/atom.

```
SmSc2S
1.0
1.779 1.027 8.785
-1.779 1.027 8.785
0.000 -2.054 8.785
Sm Sc S
1 2 1
direct
0.000 0.000 0.000
0.225 0.225 0.225
0.442 0.442 0.442
0.834 0.834 0.834
```

***

(6)
Material: SmSc4S5
Method: DFT, PBE
State: relaxed

The formation energy (no corrections) comes out at -1.867 eV per atom. For the volume, the calculation gives 189 Å³/f.u. The value obtained for the total energy is -6.94 eV/atom.

```
SmSc4S5
1.0
-1.868 2.673 9.439
1.868 -2.673 9.439
1.868 2.673 -9.439
Sm Sc S
1 4 5
direct
0.000 0.000 0.000
0.204 0.204 0.000
0.400 0.400 0.000
0.600 0.600 0.000
0.796 0.796 0.000
0.110 0.610 0.500
0.302 0.802 0.500
0.500 0.000 0.500
0.698 0.198 0.500
0.890 0.390 0.500
```

***

Q: Which DOS(E_F) values were calculated for the entries above? A: 0.0, 5.4, 5.0, 2.9, 4.6, 5.7, in states/eV/cell.